Record 1
{
  "formula": "HfTlCuRh2",
  "functional": "meta-GGA SCAN",
  "state": "PBEsol geometry",
  "lattice_angstrom": [[4.848, 0.000, 0.000], [0.000, 4.848, 0.000], [0.000, 0.000, 5.134]],
  "species": ["Hf", "Tl", "Cu", "Rh", "Rh"],
  "fractional_positions": [[0.000, 0.000, 0.000], [0.000, 0.000, 0.500], [0.500, 0.500, 0.000], [0.000, 0.500, 0.500], [0.500, 0.000, 0.500]],
  "e_tot_ha_per_atom": -1.535
}

=====

Record 2
{
  "formula": "TaFe2Re",
  "functional": "meta-GGA SCAN",
  "state": "PBEsol geometry",
  "lattice_angstrom": [[3.054, 0.000, 0.000], [0.000, 3.054, 0.000], [0.000, 0.000, 5.789]],
  "species": ["Ta", "Fe", "Fe", "Re"],
  "fractional_positions": [[0.000, 0.000, 0.000], [0.000, 0.000, 0.476], [0.500, 0.500, 0.247], [0.500, 0.500, 0.712]],
  "e_tot_ha_per_atom": -1.602
}

=====

Record 3
{
  "formula": "LaHfPb2I",
  "functional": "meta-GGA SCAN",
  "state": "PBEsol geometry",
  "lattice_angstrom": [[5.997, 0.000, 0.000], [0.000, 5.997, 0.000], [0.000, 0.000, 5.482]],
  "species": ["La", "Hf", "Pb", "Pb", "I"],
  "fractional_positions": [[0.000, 0.000, 0.000], [0.000, 0.000, 0.500], [0.000, 0.500, 0.000], [0.500, 0.000, 0.000], [0.500, 0.500, 0.500]],
  "e_tot_ha_per_atom": -2.126
}

=====

| no. | density of states at the Fermi level (states/eV/f.u.) | magnetization (μB/f.u.) |
| --- | --- | --- |
| 1 | 3.85 | 0.0 |
| 2 | 2.70 | 4.3 |
| 3 | 5.46 | 0.0 |